Record 1
9
Lattice="4.111 0.000 0.000 0.000 7.019 4.018 0.000 -7.019 4.018" Properties=species:S:1:pos:R:3 comment="TmLu3Sc2Bi2Os (PBE, optimized geometry)" e_tot_ev_per_atom=-6.0769 pbc="T T T"
Tm 0.000 0.000 0.000
Lu 2.056 -1.665 2.148
Lu 2.056 1.665 2.148
Lu 2.056 0.000 4.972
Sc 0.000 -2.660 4.595
Sc 0.000 2.660 4.595
Bi 2.056 -4.645 3.063
Bi 2.056 4.645 3.063
Os 0.000 0.000 3.082

---

Record 2
16
Lattice="7.060 0.000 0.000 0.000 7.060 0.000 0.000 0.000 7.060" Properties=species:S:1:pos:R:3 comment="Hf2CdHg (PBE, optimized geometry)" formation_energy_ev_per_atom=0.340 pbc="T T T"
Hf 0.000 0.000 0.000
Hf 0.000 3.530 3.530
Hf 1.765 1.765 1.765
Hf 1.765 5.295 5.295
Hf 3.530 0.000 3.530
Hf 3.530 3.530 0.000
Hf 5.295 1.765 5.295
Hf 5.295 5.295 1.765
Cd 1.765 1.765 5.295
Cd 1.765 5.295 1.765
Cd 5.295 1.765 1.765
Cd 5.295 5.295 5.295
Hg 0.000 0.000 3.530
Hg 0.000 3.530 0.000
Hg 3.530 0.000 0.000
Hg 3.530 3.530 3.530

---

Record 3
8
Lattice="4.442 0.000 0.000 -2.221 3.847 0.000 0.000 0.000 9.622" Properties=species:S:1:pos:R:3 comment="LaNdGa2Pt4 (PBE, optimized geometry)" e_tot_ev_per_atom=-5.9898 pbc="T T T"
La 0.000 0.000 0.000
Nd 0.000 2.564 4.811
Ga 2.221 1.282 2.447
Ga 2.221 1.282 7.176
Pt 0.000 0.000 3.145
Pt 0.000 0.000 6.477
Pt 0.000 2.564 1.714
Pt 0.000 2.564 7.908

---

Record 4
16
Lattice="6.886 0.000 0.000 0.000 6.886 0.000 0.000 0.000 6.886" Properties=species:S:1:pos:R:3 comment="MgZrCuPb (PBE, optimized geometry)" e_tot_ev_per_atom=-4.1174 pbc="T T T"
Mg 0.000 0.000 0.000
Mg 0.000 3.443 3.443
Mg 3.443 0.000 3.443
Mg 3.443 3.443 0.000
Zr 1.722 1.722 5.165
Zr 1.722 5.165 1.722
Zr 5.165 1.722 1.722
Zr 5.165 5.165 5.165
Cu 0.000 0.000 3.443
Cu 0.000 3.443 0.000
Cu 3.443 0.000 0.000
Cu 3.443 3.443 3.443
Pb 1.722 1.722 1.722
Pb 1.722 5.165 5.165
Pb 5.165 1.722 5.165
Pb 5.165 5.165 1.722

---

Record 5
16
Lattice="6.312 0.000 0.000 0.000 6.312 0.000 0.000 0.000 6.312" Properties=species:S:1:pos:R:3 comment="LiTa2Ir (PBE, optimized geometry)" e_tot_ev_per_atom=-8.5641 pbc="T T T"
Li 0.000 0.000 0.000
Li 0.000 3.156 3.156
Li 3.156 0.000 3.156
Li 3.156 3.156 0.000
Ta 0.000 0.000 3.156
Ta 0.000 3.156 0.000
Ta 1.578 1.578 4.734
Ta 1.578 4.734 1.578
Ta 3.156 0.000 0.000
Ta 3.156 3.156 3.156
Ta 4.734 1.578 1.578
Ta 4.734 4.734 4.734
Ir 1.578 1.578 1.578
Ir 1.578 4.734 4.734
Ir 4.734 1.578 4.734
Ir 4.734 4.734 1.578

---

Record 6
16
Lattice="6.549 0.000 0.000 0.000 6.549 0.000 0.000 0.000 6.549" Properties=species:S:1:pos:R:3 comment="HfCoReBi (PBE, optimized geometry)" polymorph_energy_mev_per_atom=0.0 pbc="T T T"
Hf 0.000 0.000 0.000
Hf 0.000 3.275 3.275
Hf 3.275 0.000 3.275
Hf 3.275 3.275 0.000
Co 1.637 1.637 4.912
Co 1.637 4.912 1.637
Co 4.912 1.637 1.637
Co 4.912 4.912 4.912
Re 1.637 1.637 1.637
Re 1.637 4.912 4.912
Re 4.912 1.637 4.912
Re 4.912 4.912 1.637
Bi 0.000 0.000 3.275
Bi 0.000 3.275 0.000
Bi 3.275 0.000 0.000
Bi 3.275 3.275 3.275

---

Record 7
11
Lattice="-1.982 7.751 4.782 1.982 -7.751 4.782 1.982 7.751 -4.782" Properties=species:S:1:pos:R:3 comment="Dy3Y2Er2Cu2Te2 (PBE, optimized geometry)" e_tot_ev_per_atom=-5.0925 pbc="T T T"
Dy 0.000 0.000 0.000
Dy 1.982 5.750 -0.827
Dy 0.000 2.001 3.955
Y 0.000 5.530 2.491
Y 0.000 9.972 2.491
Er 1.982 2.873 1.132
Er 0.000 4.878 5.914
Cu 1.982 -4.067 4.073
Cu 1.982 4.067 4.073
Te 1.982 0.000 2.500
Te 0.000 0.000 6.331

---

Question: Number 6 is which compound?
Answer: HfCoReBi